P | PaAlCr after structural relaxation. Source: the Alexandria database, functional GGA-PBE.

volume = 18.6 Å³ per atom

Cell: 4.576 5.842 4.656 Å, 77.77 90.00 66.95°
Fractional coordinates of all 6 atoms:
Pa: 0.132 0.743 0.813
Pa: 0.873 0.261 0.191
Al: 0.423 0.160 0.712
Al: 0.581 0.843 0.292
Cr: 0.812 0.381 0.642
Cr: 0.192 0.622 0.362

***

Q | PaAlCr after structural relaxation. Source: the Alexandria database, functional GGA-PBE.

volume = 18.1 Å³ per atom

Cell: 3.035 3.035 6.276 Å, 103.99 103.99 90.00°
Fractional coordinates of all 3 atoms:
Cr: 0.654 0.654 0.308
Pa: 0.321 0.321 0.642
Al: 0.025 0.025 0.050

***

Tell me which of them is the least stable. Sure, it is Q.

***

P | PaAlCr2 after structural relaxation. Source: the Alexandria database, functional GGA-PBE.

volume = 16.2 Å³ per atom

Cell: 3.427 4.347 4.347 Å, 90.00 90.00 90.00°
Fractional coordinates of all 4 atoms:
Cr: 0.000 0.000 0.500
Cr: 0.000 0.500 0.000
Pa: 0.500 0.000 0.000
Al: 0.500 0.500 0.500

***

Q | PaAlCr2 after structural relaxation. Source: the Alexandria database, functional GGA-PBE.

volume = 15.5 Å³ per atom

Cell: 4.439 4.439 4.439 Å, 60.00 60.00 60.00°
Fractional coordinates of all 4 atoms:
Cr: 0.250 0.250 0.250
Cr: 0.750 0.750 0.750
Pa: 0.500 0.500 0.500
Al: 0.000 0.000 0.000

***

Tell me which of them is the least stable. Sure, it is P.

***

P | AlCr3Pb after structural relaxation. Source: the Alexandria database, functional GGA-PBE.

volume = 19.9 Å³ per atom

Cell: 4.630 4.630 4.630 Å, 90.00 90.00 90.00°
Fractional coordinates of all 5 atoms:
Pb: 0.500 0.500 0.500
Cr: 0.000 0.500 0.000
Cr: 0.000 0.000 0.500
Cr: 0.500 0.000 0.000
Al: 0.000 0.000 0.000

***

Q | AlCr3Pb after structural relaxation. Source: the Alexandria database, functional GGA-PBE.

volume = 28.8 Å³ per atom

Cell: 5.240 5.240 5.240 Å, 90.00 90.00 90.00°
Fractional coordinates of all 5 atoms:
Pb: 0.000 0.000 0.000
Cr: 0.000 0.500 0.000
Cr: 0.000 0.000 0.500
Cr: 0.500 0.000 0.000
Al: 0.500 0.500 0.500

***

Tell me which of them is the least stable. Sure, it is Q.